Entry 1
MgP2BrCl: optimized geometry, PBE.

Structure (POSCAR):
```
MgP2BrCl
1.0
4.9206 0.0000 0.0000
0.0000 4.9206 0.0000
0.0000 0.0000 5.1396
Mg P Br Cl
1 2 1 1
Cartesian
0.0000 0.0000 0.0000
0.0000 2.4603 2.5698
2.4603 0.0000 2.5698
2.4603 2.4603 2.5698
2.4603 2.4603 0.0000
```

As for the space group: P4/mmm (123).

Entry 2
MgP2BrCl: optimized geometry, PBE.

Structure (POSCAR):
```
MgP2BrCl
1.0
5.0667 0.0000 0.0000
0.0000 5.0667 0.0000
0.0000 0.0000 4.7055
Mg P Br Cl
1 2 1 1
Cartesian
0.0000 0.0000 0.0000
0.0000 2.5334 0.0000
2.5334 0.0000 0.0000
2.5334 2.5334 2.3528
0.0000 0.0000 2.3528
```

As for the space group: P4/mmm (123).

Stability, highest: entry 2

Entry 1
RbMgBrCl2: optimized geometry, PBE.

Structure (POSCAR):
```
RbMgBrCl2
1.0
5.0556 0.0000 0.0000
0.0000 5.0556 0.0000
0.0000 0.0000 5.4291
Rb Mg Br Cl
1 1 1 2
Cartesian
0.0000 0.0000 0.0000
2.5278 2.5278 2.7145
2.5278 2.5278 0.0000
0.0000 2.5278 2.7145
2.5278 0.0000 2.7145
```

As for the space group: P4/mmm (123).

Entry 2
RbMgBrCl2: optimized geometry, PBE.

Structure (POSCAR):
```
RbMgBrCl2
1.0
2.1382 -8.4917 0.0000
2.1382 8.4917 0.0000
0.0000 0.0000 8.3649
Rb Mg Br Cl
2 2 2 4
Cartesian
2.1382 4.8843 6.2736
2.1382 -4.8843 2.0912
2.1382 0.0000 0.0000
2.1382 0.0000 4.1824
2.1382 -8.4891 2.0912
2.1382 8.4891 6.2736
2.1382 2.3371 4.1970
2.1382 2.3371 8.3503
2.1382 -2.3371 0.0146
2.1382 -2.3371 4.1678
```

As for the space group: Cmcm (63).

Stability, highest: entry 1

Entry 1
MgSBrCl2: optimized geometry, PBE.

Structure (POSCAR):
```
MgSBrCl2
1.0
4.5741 0.0000 0.0000
0.0000 4.5741 0.0000
0.0000 0.0000 6.1573
Mg S Br Cl
1 1 1 2
Cartesian
0.0000 0.0000 0.0000
0.0000 0.0000 3.0786
2.2870 2.2870 3.0786
0.0000 2.2870 0.0000
2.2870 0.0000 0.0000
```

As for the space group: P4/mmm (123).

Entry 2
MgSBrCl2: optimized geometry, PBE.

Structure (POSCAR):
```
MgSBrCl2
1.0
5.0819 0.0000 0.0000
0.0000 5.0819 0.0000
0.0000 0.0000 5.2186
Mg S Br Cl
1 1 1 2
Cartesian
0.0000 0.0000 0.0000
2.5410 2.5410 0.0000
2.5410 2.5410 2.6093
0.0000 2.5410 2.6093
2.5410 0.0000 2.6093
```

As for the space group: P4/mmm (123).

Stability, highest: entry 1

Entry 1
MgSeBr2Cl: optimized geometry, PBE.

Structure (POSCAR):
```
MgSeBr2Cl
1.0
5.1105 0.0000 0.0000
0.0000 5.1105 0.0000
0.0000 0.0000 5.4953
Mg Se Br Cl
1 1 2 1
Cartesian
0.0000 0.0000 0.0000
2.5553 2.5553 0.0000
0.0000 2.5553 2.7476
2.5553 0.0000 2.7476
2.5553 2.5553 2.7476
```

As for the space group: P4/mmm (123).

Entry 2
MgSeBr2Cl: optimized geometry, PBE.

Structure (POSCAR):
```
MgSeBr2Cl
1.0
5.0347 0.0000 0.0000
0.0000 5.0347 0.0000
0.0000 0.0000 5.8107
Mg Se Br Cl
1 1 2 1
Cartesian
0.0000 0.0000 0.0000
0.0000 0.0000 2.9054
0.0000 2.5174 0.0000
2.5174 0.0000 0.0000
2.5174 2.5174 2.9054
```

As for the space group: P4/mmm (123).

Stability, highest: entry 2

Entry 1
MgTlBrCl2: optimized geometry, PBE.

Structure (POSCAR):
```
MgTlBrCl2
1.0
2.0863 -8.5151 0.0000
2.0863 8.5151 0.0000
0.0000 0.0000 8.2821
Mg Tl Br Cl
2 2 2 4
Cartesian
0.0000 0.0000 0.0000
0.0000 0.0000 4.1410
2.0863 3.5257 6.2116
2.0863 -3.5257 2.0705
2.0863 0.0284 6.2116
2.0863 -0.0284 2.0705
2.0863 6.1740 4.1656
2.0863 6.1740 8.2575
2.0863 -6.1740 0.0246
2.0863 -6.1740 4.1164
```

As for the space group: Cmcm (63).

Entry 2
MgTlBrCl2: optimized geometry, PBE.

Structure (POSCAR):
```
MgTlBrCl2
1.0
4.9834 0.0000 0.0000
0.0000 4.9834 0.0000
0.0000 0.0000 5.4500
Mg Tl Br Cl
1 1 1 2
Cartesian
0.0000 0.0000 0.0000
2.4917 2.4917 2.7250
0.0000 0.0000 2.7250
0.0000 2.4917 0.0000
2.4917 0.0000 0.0000
```

As for the space group: P4/mmm (123).

Stability, highest: entry 2

Entry 1
MnBrCl2: optimized geometry, PBE.

Structure (POSCAR):
```
MnBrCl2
1.0
6.1065 0.0000 0.0000
0.0000 3.4518 0.0000
-2.0364 0.0000 6.0551
Mn Br Cl
1 1 2
Cartesian
0.0000 0.0000 0.0000
-0.3953 1.7259 5.3210
2.6156 0.0000 4.3912
5.2854 1.7259 1.3942
```

As for the space group: Pm (6).

Entry 2
MnBrCl2: optimized geometry, PBE.

Structure (POSCAR):
```
MnBrCl2
1.0
0.0000 3.5115 3.5115
3.5115 0.0000 3.5115
3.5115 3.5115 0.0000
Mn Br Cl
1 1 2
Cartesian
0.0000 0.0000 0.0000
3.5115 3.5115 3.5115
1.7557 1.7557 1.7557
5.2672 5.2672 5.2672
```

As for the space group: Fm-3m (225).

Stability, highest: entry 1